Zr2Be, single point on PBEsol structure, DFT SCAN; symmetry = No. 139; calculated total energy = -21.921 eV per atom; spin magnetization = 0.000 μB/cell
1.0
-1.671 2.281 -1.365
-0.542 -1.872 -2.462
-3.399 -2.066 4.321
Be Zr
1 2
Direct
0.000 0.000 0.000
0.351 0.351 0.702
0.649 0.649 0.298